# SnPb6

A geometry-optimized SnPb6 structure (PBE-GGA, the Alexandria database).

Results
energy of formation = 72.9 meV per atom
ΔE to the lowest computed polymorph = 0.00 eV per formula unit
D(E_F) = 5.37 states/eV/cell
space-group type = No. 123
VASP energy = -25.74 eV for the cell shown

a b c (Å): 5.000 5.000 9.258
angles (deg): 90.00 90.00 90.00
Positions (direct):
Sn1 0.000 0.000 0.000
Pb1 0.000 0.000 0.500
Pb2 0.000 0.500 0.261
Pb3 0.000 0.500 0.739
Pb4 0.500 0.000 0.261
Pb5 0.500 0.000 0.739
Pb6 0.500 0.500 0.000